! CeVSbO6 PBE with a Hubbard U optimized geometry; values from VASP
&SYSTEM
  ibrav = 0, nat = 18, ntyp = 4
/
ATOMIC_SPECIES
Ce 140.12 Ce.upf
V 50.94 V.upf
Sb 121.76 Sb.upf
O 16.00 O.upf
CELL_PARAMETERS angstrom
5.271 0.000 0.000
-2.636 4.565 0.000
0.000 0.000 9.814
ATOMIC_POSITIONS crystal
Ce 0.000 0.000 0.000
Ce 0.000 0.000 0.500
V 0.333 0.667 0.250
V 0.667 0.333 0.750
Sb 0.333 0.667 0.750
Sb 0.667 0.333 0.250
O 0.004 0.356 0.638
O 0.004 0.648 0.862
O 0.352 0.356 0.862
O 0.352 0.996 0.638
O 0.356 0.004 0.138
O 0.356 0.352 0.362
O 0.644 0.648 0.638
O 0.644 0.996 0.862
O 0.648 0.004 0.362
O 0.648 0.644 0.138
O 0.996 0.352 0.138
O 0.996 0.644 0.362
! - Total energy: -7.519 eV per atom
! - Total magnetization: 2.07 μB/f.u.
! - Volume: 13.1 A^3/atom